(1)
# TlInGe2S6

An optimized crystal structure of TlInGe2S6 (PBE, Alexandria).

```
TlInGe2S6
1.0
-5.932 -2.769 1.207
0.904 -8.493 -4.104
1.044 -3.133 8.882
Tl In Ge S
2 2 4 12
Direct
0.250 0.898 0.102
0.750 0.102 0.898
0.250 0.238 0.762
0.750 0.762 0.238
0.321 0.771 0.625
0.179 0.375 0.229
0.679 0.229 0.375
0.821 0.625 0.771
0.232 0.967 0.795
0.268 0.205 0.033
0.768 0.033 0.205
0.732 0.795 0.967
0.400 0.842 0.405
0.100 0.595 0.158
0.600 0.158 0.595
0.900 0.405 0.842
0.033 0.687 0.582
0.467 0.418 0.313
0.967 0.313 0.418
0.533 0.582 0.687
```

## Properties
For the uncorrected formation energy, the calculation gives -2.946 eV/f.u. As for the space group: C2/c, No. 15. Its total magnetic moment is 0.00 μB per atom. The value obtained for the total energy is -84.10 eV/cell.

=====

(2)
# NaLi7Pb4

An optimized crystal structure of NaLi7Pb4 (PBE, Alexandria).

```
NaLi7Pb4
1.0
-3.241 0.305 3.896
3.259 -4.728 6.388
2.048 5.162 4.607
Na Li Pb
1 7 4
Direct
0.000 0.000 0.000
0.786 0.863 0.566
0.214 0.137 0.434
0.054 0.644 0.247
0.946 0.356 0.753
0.362 0.580 0.696
0.500 0.000 0.000
0.638 0.420 0.304
0.575 0.201 0.648
0.425 0.799 0.352
0.702 0.649 0.947
0.298 0.351 0.053
```

## Properties
As for the space group: C2/m, No. 12. Its total magnetic moment is 0.00 μB per atom. As for the calculated formation energy: -19 kJ per mole of atoms. The value obtained for the total energy is -31.86 eV/cell.

=====

(3)
# AcPrReO6

An optimized crystal structure of AcPrReO6 (PBE, Alexandria).

```
AcPrReO6
1.0
5.735 0.000 0.000
2.868 4.966 0.000
0.000 0.000 5.203
Ac Pr Re O
1 1 1 6
Direct
0.000 0.000 0.000
0.667 0.667 0.500
0.333 0.333 0.500
0.055 0.330 0.287
0.329 0.055 0.713
0.615 0.330 0.713
0.055 0.615 0.713
0.330 0.615 0.287
0.615 0.055 0.287
```

## Properties
For the uncorrected formation energy, the calculation gives -22.797 eV/f.u. As for the space group: P312, No. 149. Its total magnetic moment is 0.11 μB per atom. The value obtained for the total energy is -73.88 eV/cell.

=====

(4)
# Tb2BIr3

An optimized crystal structure of Tb2BIr3 (PBE, Alexandria).

```
Tb2BIr3
1.0
4.523 -0.089 1.978
1.260 4.345 1.978
-0.121 -0.089 4.935
Tb B Ir
2 1 3
Direct
0.374 0.374 0.374
0.626 0.626 0.626
0.000 0.000 0.000
0.000 0.000 0.500
0.500 0.000 0.000
0.000 0.500 0.000
```

## Properties
As for the space group: R-3m, No. 166. Its total magnetic moment is 0.00 μB per atom. As for the calculated formation energy: -54 kJ per mole of atoms. The value obtained for the energy above the most stable polymorph in this dataset is 0.0 meV per atom. The value obtained for the total energy is -45.86 eV/cell.

=====

(5)
# BaSnHg2Os

An optimized crystal structure of BaSnHg2Os (PBE, Alexandria).

```
BaSnHg2Os
1.0
-1.019 -2.380 -4.656
5.447 -1.496 -0.428
-1.050 -4.554 2.557
Os Hg Sn Ba
1 2 1 1
Direct
0.000 0.000 0.000
0.000 0.000 0.500
0.500 0.000 0.000
0.500 0.500 0.500
0.000 0.500 0.000
```

## Properties
As for the space group: P4/mmm, No. 123. Its total magnetic moment is 0.02 μB per atom. As for the calculated formation energy: 57 kJ per mole of atoms. The value obtained for the total energy is -14.83 eV/cell.